First-principles (PBE-GGA) data for a relaxed BaCd5In2 crystal, as listed in Alexandria.

Calculated values
As for the calculated volume: 27.40 Å³ per atom. For the formation energy, the calculation gives -201.9 meV/atom. For the calculated total energy, the calculation gives -1.6988 eV/atom.

Unit cell a=4.6763 b=8.2464 c=11.3669 alpha=90.00 beta=90.00 gamma=90.00
Closest atoms and distances in Å follow each position.
Space group Immm (No. 71)
Asymmetric unit:
Ba: 0.0000 0.0000 0.0000  4 In 3.64, 8 Cd 3.82
Cd: 0.0000 0.1845 0.3656  3 In 2.89-3.10, 4 Cd 3.04-3.18
Cd: 0.0000 0.5000 0.0000  2 In 2.89, 8 Cd 3.18
In: 0.0000 0.5000 0.2542  7 Cd 2.89-3.10


First-principles (PBE-GGA) data for a relaxed BaCdIn2 crystal, as listed in Alexandria.

Calculated values
As for the calculated volume: 37.15 Å³ per atom. For the formation energy, the calculation gives -153.4 meV/atom. For the calculated total energy, the calculation gives -2.2321 eV/atom.

Unit cell a=5.3835 b=5.3835 c=20.5117 alpha=90.00 beta=90.00 gamma=90.00
Closest atoms and distances in Å follow each position.
Space group I-42d (No. 122)
Asymmetric unit:
Ba: 0.0000 0.0000 0.0000  4 In 3.59, 4 Cd 3.81
Cd: 0.0000 0.0000 0.5000  4 In 2.95
In: 0.1053 0.2500 0.6250  2 In 2.92, 2 Cd 2.95